# LiU2As4

An optimized crystal structure of LiU2As4 (PBE, Alexandria via LeMat-Bulk).

Cell: 3.888 3.888 10.154 Å, 90.00 90.00 90.00°
Sites, in units of the cell vectors:
Li: 0.000 0.000 0.000
U: 0.000 0.500 0.725
U: 0.500 0.000 0.275
As: 0.000 0.000 0.500
As: 0.000 0.500 0.181
As: 0.500 0.000 0.819
As: 0.500 0.500 0.500

**Space-group type**: P-4m2 (115)
**Calculated total energy**: -6.7518 eV per atom
**ΔE_f**: -596 meV/atom

=====

# LiUAs2

An optimized crystal structure of LiUAs2 (PBE, Alexandria via LeMat-Bulk).

Cell: 6.776 6.776 6.776 Å, 34.93 34.93 34.93°
Sites, in units of the cell vectors:
Li: 0.000 0.000 0.000
U: 0.179 0.179 0.179
As: 0.593 0.593 0.593
As: 0.764 0.764 0.764

**Space-group type**: R3m (160)
**Calculated total energy**: -6.1563 eV per atom
**ΔE to the lowest computed polymorph**: 0.48 eV/f.u.
**ΔE_f**: -531 meV/atom

=====

# LiUAs

An optimized crystal structure of LiUAs (PBE, Alexandria via LeMat-Bulk).

Cell: 9.232 9.232 9.232 Å, 23.76 23.76 23.76°
Sites, in units of the cell vectors:
Li: 0.197 0.197 0.197
Li: 0.803 0.803 0.803
U: 0.362 0.362 0.362
U: 0.638 0.638 0.638
As: 0.095 0.095 0.095
As: 0.905 0.905 0.905

**Space-group type**: R-3m (166)
**Calculated total energy**: -6.5173 eV per atom
**ΔE_f**: -567 meV/atom